The following is a PBE calculation of NaPbOF2 after structural relaxation, from the Alexandria database.

Properties
As for the total moment: 0.000 μB per cell. The value obtained for the raw total energy is -22.57 eV per cell. Its density of states at the Fermi level is 0.436 states/eV/f.u. For the formation energy without anion corrections, the calculation gives -1.769 eV/atom. The energy relative to the lowest polymorph listed for this composition comes out at 0 meV per atom.

Unit cell a=4.5865 b=4.5865 c=4.2457 alpha=90.00 beta=90.00 gamma=90.00
Last column: nearest neighbours and their distance in Å.
Space group P4/mmm (No. 123)
One atom of each set of equivalent atoms:
Na  0.0000  0.0000  0.0000 (multiplicity 1)  8 F 3.13, 4 O 3.24
Pb  0.5000  0.5000  0.5000 (multiplicity 1)  2 O 2.12, 4 F 2.29
O  0.5000  0.5000  0.0000 (multiplicity 1)  2 Pb 2.12
F  0.0000  0.5000  0.5000 (multiplicity 2)  2 Pb 2.29



The following is a PBE calculation of Na2PbO2F2 after structural relaxation, from the Alexandria database.

Properties
As for the total moment: 0.000 μB per cell. The value obtained for the raw total energy is -32.87 eV per cell. For the formation energy without anion corrections, the calculation gives -1.838 eV/atom.

Unit cell a=3.2528 b=6.0372 c=6.1007 alpha=64.70 beta=75.75 gamma=88.00
Last column: nearest neighbours and their distance in Å.
Space group P-1 (No. 2)
One atom of each set of equivalent atoms:
Na  0.1539  0.1899  0.1056 (multiplicity 2)  3 F 2.23-2.46, 1 O 2.33
Pb  0.5000  0.5000  0.5000 (multiplicity 1)  4 O 2.17-2.19, 2 F 2.27
O  0.1077  0.4840  0.2617 (multiplicity 2)  2 Pb 2.17-2.19, 1 Na 2.33
F  0.3964  0.0894  0.7458 (multiplicity 2)  3 Na 2.23-2.46, 1 Pb 2.27



The following is a PBE calculation of NaPbOF2 after structural relaxation, from the Alexandria database.

Properties
As for the total moment: 1.000 μB per cell. The value obtained for the raw total energy is -21.21 eV per cell. Its density of states at the Fermi level is 0.576 states/eV/f.u. For the formation energy without anion corrections, the calculation gives -1.497 eV/atom. The energy relative to the lowest polymorph listed for this composition comes out at 273 meV per atom.

Unit cell a=4.1501 b=4.1501 c=4.3558 alpha=90.00 beta=90.00 gamma=90.00
Last column: nearest neighbours and their distance in Å.
Space group P4/mmm (No. 123)
One atom of each set of equivalent atoms:
Na  0.0000  0.0000  0.0000 (multiplicity 1)  4 F 2.08, 2 O 2.18
Pb  0.5000  0.5000  0.5000 (multiplicity 1)  4 O 2.93, 8 F 3.01
O  0.0000  0.0000  0.5000 (multiplicity 1)  2 Na 2.18
F  0.0000  0.5000  0.0000 (multiplicity 2)  2 Na 2.08



The following is a PBE calculation of Na2PdOF after structural relaxation, from the Alexandria database.

Properties
As for the total moment: 0.530 μB per cell. The value obtained for the raw total energy is -18.31 eV per cell. Its density of states at the Fermi level is 2.198 states/eV/f.u. For the formation energy without anion corrections, the calculation gives -0.731 eV/atom.

Unit cell a=4.2766 b=4.2766 c=4.3137 alpha=90.00 beta=90.00 gamma=90.00
Last column: nearest neighbours and their distance in Å.
Space group P4/mmm (No. 123)
One atom of each set of equivalent atoms:
Na  0.0000  0.5000  0.0000 (multiplicity 2)  2 F 2.14
Pd  0.0000  0.0000  0.5000 (multiplicity 1)  2 F 2.16
O  0.5000  0.5000  0.5000 (multiplicity 1)  4 Pd 3.02, 8 Na 3.04
F  0.0000  0.0000  0.0000 (multiplicity 1)  4 Na 2.14, 2 Pd 2.16



The following is a PBE calculation of NaPdOF2 after structural relaxation, from the Alexandria database.

Properties
As for the total moment: 3.882 μB per cell. The value obtained for the raw total energy is -89.09 eV per cell. Its density of states at the Fermi level is 1.992 states/eV/f.u. For the formation energy without anion corrections, the calculation gives -1.412 eV/atom. The energy relative to the lowest polymorph listed for this composition comes out at 0 meV per atom.

Unit cell a=3.4616 b=10.5066 c=7.0555 alpha=90.00 beta=90.00 gamma=90.00
Last column: nearest neighbours and their distance in Å.
Space group Cmcm (No. 63)
One atom of each set of equivalent atoms:
Na  0.0000  0.2396  0.2500 (multiplicity 4)  6 F 2.41-2.60, 2 O 2.44
Pd  0.0000  0.5000  0.0000 (multiplicity 4)  2 O 1.94
O  0.0000  0.4242  0.7500 (multiplicity 4)  2 Pd 1.94
F  0.0000  0.1326  0.5526 (multiplicity 8)  2 Pd 2.25, 1 Na 2.41



The following is a PBE calculation of NaPdO2F after structural relaxation, from the Alexandria database.

Properties
As for the total moment: 1.132 μB per cell. The value obtained for the raw total energy is -16.56 eV per cell. Its density of states at the Fermi level is 7.396 states/eV/f.u. For the formation energy without anion corrections, the calculation gives 0.348 eV/atom.

Unit cell a=4.1480 b=4.1480 c=3.9612 alpha=90.00 beta=90.00 gamma=90.00
Last column: nearest neighbours and their distance in Å.
Space group P4/mmm (No. 123)
One atom of each set of equivalent atoms:
Na  0.0000  0.0000  0.0000 (multiplicity 1)  2 F 1.98, 4 O 2.07
Pd  0.5000  0.5000  0.5000 (multiplicity 1)  8 O 2.87, 4 F 2.93
O  0.0000  0.5000  0.0000 (multiplicity 2)  2 Na 2.07
F  0.0000  0.0000  0.5000 (multiplicity 1)  2 Na 1.98



The following is a PBE calculation of NaPdOF2 after structural relaxation, from the Alexandria database.

Properties
As for the total moment: 3.000 μB per cell. The value obtained for the raw total energy is -17.30 eV per cell. Its density of states at the Fermi level is 5.389 states/eV/f.u. For the formation energy without anion corrections, the calculation gives -0.417 eV/atom. The energy relative to the lowest polymorph listed for this composition comes out at 995 meV per atom.

Unit cell a=4.0341 b=4.0341 c=4.3114 alpha=90.00 beta=90.00 gamma=90.00
Last column: nearest neighbours and their distance in Å.
Space group P4/mmm (No. 123)
One atom of each set of equivalent atoms:
Na  0.0000  0.0000  0.0000 (multiplicity 1)  4 F 2.02, 2 O 2.16
Pd  0.5000  0.5000  0.5000 (multiplicity 1)  4 O 2.85, 8 F 2.95
O  0.0000  0.0000  0.5000 (multiplicity 1)  2 Na 2.16
F  0.0000  0.5000  0.0000 (multiplicity 2)  2 Na 2.02



The following is a PBE calculation of NaPdO2F after structural relaxation, from the Alexandria database.

Properties
As for the total moment: 1.621 μB per cell. The value obtained for the raw total energy is -22.64 eV per cell. Its density of states at the Fermi level is 2.005 states/eV/f.u. For the formation energy without anion corrections, the calculation gives -0.869 eV/atom.

Unit cell a=3.9062 b=3.9062 c=4.5320 alpha=90.00 beta=90.00 gamma=90.00
Last column: nearest neighbours and their distance in Å.
Space group P4/mmm (No. 123)
One atom of each set of equivalent atoms:
Na  0.0000  0.0000  0.0000 (multiplicity 1)  4 F 2.76, 8 O 2.99
Pd  0.5000  0.5000  0.5000 (multiplicity 1)  4 O 1.95
O  0.0000  0.5000  0.5000 (multiplicity 2)  2 Pd 1.95
F  0.5000  0.5000  0.0000 (multiplicity 1)  2 Pd 2.27



The following is a PBE calculation of NaPdOF2 after structural relaxation, from the Alexandria database.

Properties
As for the total moment: 0.001 μB per cell. The value obtained for the raw total energy is -21.81 eV per cell. Its density of states at the Fermi level is 3.601 states/eV/f.u. For the formation energy without anion corrections, the calculation gives -1.320 eV/atom. The energy relative to the lowest polymorph listed for this composition comes out at 92 meV per atom.

Unit cell a=4.3414 b=4.3414 c=3.8377 alpha=90.00 beta=90.00 gamma=90.00
Last column: nearest neighbours and their distance in Å.
Space group P4/mmm (No. 123)
One atom of each set of equivalent atoms:
Na  0.0000  0.0000  0.0000 (multiplicity 1)  8 F 2.90, 4 O 3.07
Pd  0.5000  0.5000  0.5000 (multiplicity 1)  2 O 1.92
O  0.5000  0.5000  0.0000 (multiplicity 1)  2 Pd 1.92
F  0.0000  0.5000  0.5000 (multiplicity 2)  2 Pd 2.17



The following is a PBE calculation of Na5Pr4Si4O16F after structural relaxation, from the Alexandria database.

Properties
As for the total moment: 0.000 μB per cell. The value obtained for the raw total energy is -429.68 eV per cell. Its density of states at the Fermi level is 0.000 states/eV/f.u. For the formation energy without anion corrections, the calculation gives -2.874 eV/atom.

Unit cell a=12.1041 b=12.1041 c=5.5492 alpha=90.00 beta=90.00 gamma=90.00
Last column: nearest neighbours and their distance in Å.
Space group I-4 (No. 82)
One atom of each set of equivalent atoms:
Na  0.0000  0.0000  0.0000 (multiplicity 2)  4 O 2.60, 2 F 2.77
Na  0.0885  0.6052  0.5165 (multiplicity 8)  5 O 2.49-2.65
Pr  0.1171  0.1844  0.5214 (multiplicity 8)  7 O 2.38-2.63, 1 F 2.65
Si  0.1011  0.7517  0.0102 (multiplicity 8)  4 O 1.64-1.66
O  0.0365  0.7832  0.2619 (multiplicity 8)  1 Si 1.65
O  0.0466  0.8163  0.7788 (multiplicity 8)  1 Si 1.64
O  0.1057  0.6168  0.9691 (multiplicity 8)  1 Si 1.65
O  0.2034  0.2294  0.9445 (multiplicity 8)  1 Si 1.66
F  0.0000  0.0000  0.5000 (multiplicity 2)  4 Pr 2.65, 4 O 2.77, 2 Na 2.77